A geometry-optimized KBaCl2 structure. Source: Alexandria via LeMat-Bulk, functional PBE.

The magnetization is 0.13 μB per formula unit. The calculation puts the energy above the most stable polymorph in this dataset at 42 meV/atom. The value obtained for the uncorrected formation energy is -1.784 eV/atom.

The structure belongs to space group Cm (No. 8); the cell edges are 17.6828, 4.4173 and 4.4002 Å and the angles 90.00°, 90.40° and 90.00°. The distinct sites, in fractional coordinates, are K at (0.0000, 0.0000, 0.0000), Ba at (0.2813, 0.0000, 0.4940), Cl at (0.3065, 0.5000, 0.9943) and Cl at (0.4544, 0.0000, 0.4988).

=====

A geometry-optimized KBaCl2 structure. Source: Alexandria via LeMat-Bulk, functional PBE.

The magnetization is 0.00 μB per formula unit. The calculation puts the energy above the most stable polymorph in this dataset at 46 meV/atom. The value obtained for the uncorrected formation energy is -1.780 eV/atom.

The structure belongs to space group P4/mmm (No. 123); the cell edges are 4.5497, 4.5497 and 6.4787 Å and the angles 90.00°, 90.00° and 90.00°. The distinct sites, in fractional coordinates, are K at (0.0000, 0.0000, 0.0000), Ba at (0.5000, 0.5000, 0.5000), Cl at (0.0000, 0.0000, 0.5000) and Cl at (0.5000, 0.5000, 0.0000).

=====

A geometry-optimized K4BaCl structure. Source: Alexandria via LeMat-Bulk, functional PBE.

The magnetization is 0.00 μB per formula unit. The value obtained for the uncorrected formation energy is -0.146 eV/atom.

The structure belongs to space group F-43m (No. 216); the cell edges are 11.6257, 11.6257 and 11.6257 Å and the angles 90.00°, 90.00° and 90.00°. The distinct sites, in fractional coordinates, are K at (0.1244, 0.1244, 0.3756), Ba at (0.0000, 0.0000, 0.0000) and Cl at (0.2500, 0.2500, 0.7500).

=====

A geometry-optimized K2BaCl structure. Source: Alexandria via LeMat-Bulk, functional PBE.

The magnetization is 0.42 μB per formula unit. The calculation puts the energy above the most stable polymorph in this dataset at 57 meV/atom. The value obtained for the uncorrected formation energy is -0.812 eV/atom.

The structure belongs to space group P4/mmm (No. 123); the cell edges are 4.0563, 4.0563 and 11.5169 Å and the angles 90.00°, 90.00° and 90.00°. The distinct sites, in fractional coordinates, are K at (0.0000, 0.0000, 0.1603), Ba at (0.5000, 0.5000, 0.5000) and Cl at (0.5000, 0.5000, 0.0000).

=====

A geometry-optimized K2BaCl structure. Source: Alexandria via LeMat-Bulk, functional PBE.

The magnetization is 0.00 μB per formula unit. The calculation puts the energy above the most stable polymorph in this dataset at 51 meV/atom. The value obtained for the uncorrected formation energy is -0.819 eV/atom.

The structure belongs to space group Cmm2 (No. 35); the cell edges are 4.5067, 7.7594 and 12.4783 Å and the angles 90.00°, 90.00° and 90.00°. The distinct sites, in fractional coordinates, are K at (0.0000, 0.0000, 0.0000), K at (0.0000, 0.5000, 0.3183), Ba at (0.0000, 0.5000, 0.6819) and Cl at (0.0000, 0.0000, 0.5008).

=====

A geometry-optimized K2BaCl structure. Source: Alexandria via LeMat-Bulk, functional PBE.

The magnetization is 0.00 μB per formula unit. The calculation puts the energy above the most stable polymorph in this dataset at 0 meV/atom. The value obtained for the uncorrected formation energy is -0.869 eV/atom.

The structure belongs to space group R-3m (No. 166, hexagonal axes); the cell edges are 4.5208, 4.5208 and 35.6516 Å and the angles 90.00°, 90.00° and 120.00°. The distinct sites, in fractional coordinates, are K at (0.0000, 0.0000, 0.2193), Ba at (0.0000, 0.0000, 0.0000) and Cl at (0.0000, 0.0000, 0.5000).

=====

- Look up the magnetization of the third one.
  0.00 μB per formula unit